# Gd2Tl | OQMD via LeMat-Bulk | PBE | relaxed
data_Gd2Tl
_chemical_formula_sum 'Gd4 Tl2'
_space_group_name_H-M_alt 'P 1'
_space_group_IT_number 1
_space_group_name_Hall 'P 1'
_cell_length_a 9.3853
_cell_length_b 9.3853
_cell_length_c 9.3853
_cell_angle_alpha 60.00
_cell_angle_beta 60.00
_cell_angle_gamma 60.00
loop_
_atom_site_label
_atom_site_type_symbol
_atom_site_fract_x
_atom_site_fract_y
_atom_site_fract_z
Gd1 Gd 0.3750 0.3750 0.3750
Gd2 Gd 0.8750 0.3750 0.3750
Gd3 Gd 0.3750 0.8750 0.3750
Gd4 Gd 0.3750 0.3750 0.8750
Tl1 Tl 0.2500 0.2500 0.2500
Tl2 Tl 0.5000 0.5000 0.5000
# * calculated total energy: -2.44 eV per atom

# GdTl | OQMD via LeMat-Bulk | PBE | relaxed
data_GdTl
_chemical_formula_sum 'Gd1 Tl1'
_space_group_name_H-M_alt 'P 1'
_space_group_IT_number 1
_space_group_name_Hall 'P 1'
_cell_length_a 3.6310
_cell_length_b 3.6310
_cell_length_c 5.1047
_cell_angle_alpha 90.00
_cell_angle_beta 90.00
_cell_angle_gamma 120.00
loop_
_atom_site_label
_atom_site_type_symbol
_atom_site_fract_x
_atom_site_fract_y
_atom_site_fract_z
Gd1 Gd 0.6667 0.3333 0.7500
Tl1 Tl 0.3333 0.6667 0.2500
# * calculated total energy: -3.71 eV per atom

# GdTl | OQMD via LeMat-Bulk | PBE | relaxed
data_GdTl
_chemical_formula_sum 'Gd1 Tl1'
_space_group_name_H-M_alt 'P 1'
_space_group_IT_number 1
_space_group_name_Hall 'P 1'
_cell_length_a 4.8967
_cell_length_b 4.8967
_cell_length_c 4.8967
_cell_angle_alpha 60.00
_cell_angle_beta 60.00
_cell_angle_gamma 60.00
loop_
_atom_site_label
_atom_site_type_symbol
_atom_site_fract_x
_atom_site_fract_y
_atom_site_fract_z
Gd1 Gd 0.0000 0.0000 0.0000
Tl1 Tl 0.2500 0.2500 0.2500
# * calculated total energy: -2.90 eV per atom

# Gd2Tl | OQMD via LeMat-Bulk | PBE | relaxed
data_Gd2Tl
_chemical_formula_sum 'Gd4 Tl2'
_space_group_name_H-M_alt 'P 1'
_space_group_IT_number 1
_space_group_name_Hall 'P 1'
_cell_length_a 6.3418
_cell_length_b 6.3418
_cell_length_c 6.3418
_cell_angle_alpha 60.00
_cell_angle_beta 60.00
_cell_angle_gamma 60.00
loop_
_atom_site_label
_atom_site_type_symbol
_atom_site_fract_x
_atom_site_fract_y
_atom_site_fract_z
Gd1 Gd 0.6250 0.6250 0.1250
Gd2 Gd 0.6250 0.1250 0.6250
Gd3 Gd 0.1250 0.6250 0.6250
Gd4 Gd 0.6250 0.6250 0.6250
Tl1 Tl 0.0000 0.0000 0.0000
Tl2 Tl 0.2500 0.2500 0.2500
# * calculated total energy: -3.70 eV per atom

# Gd3Tl5 | OQMD via LeMat-Bulk | PBE | relaxed
data_Gd3Tl5
_chemical_formula_sum 'Gd6 Tl10'
_space_group_name_H-M_alt 'P 1'
_space_group_IT_number 1
_space_group_name_Hall 'P 1'
_cell_length_a 6.4834
_cell_length_b 6.4834
_cell_length_c 10.4939
_cell_angle_alpha 90.00
_cell_angle_beta 90.00
_cell_angle_gamma 77.75
loop_
_atom_site_label
_atom_site_type_symbol
_atom_site_fract_x
_atom_site_fract_y
_atom_site_fract_z
Gd1 Gd 0.2946 0.2946 0.0000
Gd2 Gd 0.7054 0.7054 0.0000
Gd3 Gd 0.8870 0.1130 0.2500
Gd4 Gd 0.2946 0.2946 0.5000
Gd5 Gd 0.7054 0.7054 0.5000
Gd6 Gd 0.1130 0.8870 0.7500
Tl1 Tl 0.1969 0.8031 0.0381
Tl2 Tl 0.4317 0.0118 0.2500
Tl3 Tl 0.4968 0.5032 0.2500
Tl4 Tl 0.9882 0.5683 0.2500
Tl5 Tl 0.1969 0.8031 0.4619
Tl6 Tl 0.8031 0.1969 0.5381
Tl7 Tl 0.0118 0.4317 0.7500
Tl8 Tl 0.5032 0.4968 0.7500
Tl9 Tl 0.5683 0.9882 0.7500
Tl10 Tl 0.8031 0.1969 0.9619
# * calculated total energy: -3.54 eV per atom

# GdYTl | OQMD via LeMat-Bulk | PBE | relaxed
data_GdYTl
_chemical_formula_sum 'Gd1 Y1 Tl1'
_space_group_name_H-M_alt 'P 1'
_space_group_IT_number 1
_space_group_name_Hall 'P 1'
_cell_length_a 5.1882
_cell_length_b 5.1882
_cell_length_c 5.1882
_cell_angle_alpha 60.00
_cell_angle_beta 60.00
_cell_angle_gamma 60.00
loop_
_atom_site_label
_atom_site_type_symbol
_atom_site_fract_x
_atom_site_fract_y
_atom_site_fract_z
Gd1 Gd 0.2500 0.2500 0.2500
Tl1 Tl 0.0000 0.0000 0.0000
Y1 Y 0.7500 0.7500 0.7500
# * calculated total energy: -4.56 eV per atom

Repeat the sixth record exactly.
# GdYTl | OQMD via LeMat-Bulk | PBE | relaxed
data_GdYTl
_chemical_formula_sum 'Gd1 Y1 Tl1'
_space_group_name_H-M_alt 'P 1'
_space_group_IT_number 1
_space_group_name_Hall 'P 1'
_cell_length_a 5.1882
_cell_length_b 5.1882
_cell_length_c 5.1882
_cell_angle_alpha 60.00
_cell_angle_beta 60.00
_cell_angle_gamma 60.00
loop_
_atom_site_label
_atom_site_type_symbol
_atom_site_fract_x
_atom_site_fract_y
_atom_site_fract_z
Gd1 Gd 0.2500 0.2500 0.2500
Tl1 Tl 0.0000 0.0000 0.0000
Y1 Y 0.7500 0.7500 0.7500
# * calculated total energy: -4.56 eV per atom